No. 1
Zn2AgPd after structural relaxation, computed with PBE.

abc: 4.108 4.108 3.616
angles: 90.00 90.00 90.00
Space group P4/mmm (No. 123)
Inequivalent atoms, fractional coordinates:
Zn 0.000 0.500 0.000 x2
Ag 0.000 0.000 0.500 x1
Pd 0.500 0.500 0.500 x1



No. 2
Zn2AgPd6 after structural relaxation, computed with PBE.

abc: 8.248 8.248 4.043
angles: 90.00 90.00 90.00
Space group P4_2/mnm (No. 136)
Inequivalent atoms, fractional coordinates:
Zn 0.178 0.178 0.000 x4
Ag 0.000 0.000 0.500 x2
Pd 0.005 0.333 0.500 x8
Pd 0.160 0.840 0.000 x4

Values from the calculation:
excess energy over the best structure of this formula in the dataset: 0.0000 eV/atom



No. 3
ZnAgPd after structural relaxation, computed with PBE.

abc: 2.929 5.822 6.026
angles: 106.09 103.97 90.39
Space group P-1 (No. 2)
Inequivalent atoms, fractional coordinates:
Zn 0.143 0.071 0.288 x2
Ag 0.179 0.620 0.357 x2
Pd 0.493 0.744 0.987 x2

Values from the calculation:
excess energy over the best structure of this formula in the dataset: 0.0236 eV/atom



| no. | formation energy (eV/atom) | electronic total energy (eV per atom) |
| --- | --- | --- |
| 1 | -0.280 | -2.93 |
| 2 | -0.278 | -4.34 |
| 3 | -0.237 | -3.34 |